! Tb2TlReO8 | Alexandria | PBE-GGA | relaxed; values from VASP
&SYSTEM
  ibrav = 0, nat = 12, ntyp = 4
/
ATOMIC_SPECIES
Tb 158.93 Tb.upf
Tl 204.38 Tl.upf
Re 186.21 Re.upf
O 16.00 O.upf
CELL_PARAMETERS angstrom
3.4030 -3.5803 0.0000
3.4030 3.5803 0.0000
0.0000 0.0000 7.1170
ATOMIC_POSITIONS angstrom
Tb 0.0000 0.0000 1.7375
Tb 0.0000 0.0000 5.3796
Tl 3.4030 0.0000 3.5585
Re 3.4030 0.0000 0.0000
O 1.3648 0.0000 3.5585
O 1.4900 0.0000 0.0000
O 3.4030 1.3140 1.3692
O 3.4030 1.3140 5.7478
O 3.4030 -1.3140 1.3692
O 3.4030 -1.3140 5.7478
O 5.3159 0.0000 0.0000
O 5.4411 0.0000 3.5585
! size of the total moment: 0.00 μB/f.u.
! uncorrected energy: -7.51 eV per atom
! energy relative to the elements, uncorrected: -26.32 eV/f.u.
! theoretical density: 8.0 Mg/m³
! SG: Cmmm, No. 65


! TbTl2ReO6 | Alexandria | PBE-GGA | relaxed; values from VASP
&SYSTEM
  ibrav = 0, nat = 10, ntyp = 4
/
ATOMIC_SPECIES
Tb 158.93 Tb.upf
Tl 204.38 Tl.upf
Re 186.21 Re.upf
O 16.00 O.upf
CELL_PARAMETERS angstrom
6.5431 0.0000 0.0000
-3.2716 5.6665 0.0000
0.0000 0.0000 5.8521
ATOMIC_POSITIONS angstrom
Tb 0.0000 0.0000 0.0000
Tl 0.0000 3.7777 2.7764
Tl 3.2716 1.8888 3.0757
Re 0.0000 0.0000 2.9260
O 0.0000 1.5120 4.0992
O -1.9622 4.9105 4.0992
O 1.3094 0.7560 1.7528
O 1.9622 4.9105 4.0992
O 5.2337 0.7560 1.7528
O 3.2716 4.1546 1.7528
! size of the total moment: 0.00 μB/f.u.
! uncorrected energy: -6.84 eV per atom
! energy relative to the elements, uncorrected: -16.84 eV/f.u.
! theoretical density: 6.5 Mg/m³
! SG: P-3m1, No. 164